[1]
NaPrH6Pt2 | GGA-PBE | optimized geometry

a = 5.974 Å, b = 5.974 Å, c = 5.974 Å
α = 47.10°, β = 47.10°, γ = 47.10°
Fractional coordinates of all 10 atoms:
Na 0.000 0.000 0.000
Pr 0.500 0.500 0.500
H 0.066 0.066 0.554
H 0.066 0.554 0.066
H 0.446 0.934 0.934
H 0.554 0.066 0.066
H 0.934 0.446 0.934
H 0.934 0.934 0.446
Pt 0.288 0.288 0.288
Pt 0.712 0.712 0.712

**Uncorrected energy**: -4.148 eV per atom
**Spin magnetization**: 0.00 μB/cell

=====

[2]
NaPrH8Pt2 | GGA-PBE | optimized geometry

a = 7.674 Å, b = 7.674 Å, c = 7.674 Å
α = 34.85°, β = 34.85°, γ = 34.85°
Fractional coordinates of all 12 atoms:
Na 0.000 0.000 0.000
Pr 0.500 0.500 0.500
H 0.024 0.456 0.456
H 0.169 0.169 0.169
H 0.456 0.024 0.456
H 0.456 0.456 0.024
H 0.544 0.544 0.976
H 0.544 0.976 0.544
H 0.831 0.831 0.831
H 0.976 0.544 0.544
Pt 0.246 0.246 0.246
Pt 0.754 0.754 0.754

**Uncorrected energy**: -3.894 eV per atom
**Spin magnetization**: 0.00 μB/cell